Material: BIF
Method: DFT, PBE
State: relaxed

abc: 3.643 5.992 8.566
angles: 121.45 101.99 90.96
Fractional positions:
F (0.116, 0.367, 0.717)
F (0.884, 0.633, 0.283)
B (0.939, 0.900, 0.380)
B (0.061, 0.100, 0.620)
I (0.387, 0.041, 0.266)
I (0.613, 0.959, 0.734)

Values from the calculation:
symmetry = P-1
raw formation energy = -1.133 eV per atom
DOS at the Fermi energy = 0.00 states/eV/atom

Material: B2I2F
Method: DFT, PBE
State: relaxed

abc: 7.749 7.749 3.431
angles: 90.00 90.00 90.00
Fractional positions:
B (0.193, 0.693, 0.500)
B (0.307, 0.193, 0.500)
B (0.693, 0.807, 0.500)
B (0.807, 0.307, 0.500)
I (0.327, 0.827, 0.000)
I (0.827, 0.673, 0.000)
I (0.673, 0.173, 0.000)
I (0.173, 0.327, 0.000)
F (0.000, 0.000, 0.000)
F (0.500, 0.500, 0.000)

Values from the calculation:
energy relative to the lowest polymorph listed for this composition = 1.17 eV per formula unit
symmetry = P4/mbm
raw formation energy = 1.062 eV per atom
DOS at the Fermi energy = 0.40 states/eV/atom

Material: B2IF
Method: DFT, PBE
State: relaxed

abc: 3.754 3.754 8.601
angles: 77.39 77.39 90.00
Fractional positions:
B (0.375, 0.625, 0.250)
B (0.375, 0.625, 0.750)
B (0.375, 0.125, 0.250)
B (0.875, 0.625, 0.750)
F (0.250, 0.750, 0.500)
F (0.500, 0.500, 0.000)
I (0.750, 0.250, 0.500)
I (0.000, 0.000, 0.000)

Values from the calculation:
energy relative to the lowest polymorph listed for this composition = 0.00 eV per formula unit
symmetry = I4_1/amd
raw formation energy = 0.849 eV per atom
DOS at the Fermi energy = 0.13 states/eV/atom

Material: KB2IF
Method: DFT, PBE
State: relaxed

abc: 4.429 8.963 4.429
angles: 90.00 90.00 90.00
Each line ends with the local moment (μB).
Fractional positions:
F (0.500, 0.500, 0.500)  0.00
B (0.000, 0.000, 0.500)  0.10
B (0.500, 0.000, 0.000)  0.27
K (0.000, 0.500, 0.000)  0.00
I (0.000, 0.000, 0.000)  0.00

Values from the calculation:
symmetry = P4/mmm
raw formation energy = 0.967 eV per atom
DOS at the Fermi energy = 0.43 states/eV/atom

Material: BIN2F
Method: DFT, PBE
State: relaxed

abc: 3.797 3.797 6.695
angles: 90.00 90.00 90.00
Each line ends with the local moment (μB).
Fractional positions:
I (0.000, 0.000, 0.500)  0.00
N (0.500, 0.000, 0.000)  1.37
N (0.000, 0.500, 0.000)  1.37
F (0.000, 0.000, 0.000)  -0.01
B (0.500, 0.500, 0.500)  -0.06

Values from the calculation:
energy relative to the lowest polymorph listed for this composition = 8.14 eV per formula unit
symmetry = P4/mmm
raw formation energy = 2.628 eV per atom
DOS at the Fermi energy = 0.36 states/eV/atom

Material: BIN2F
Method: DFT, PBE
State: relaxed

abc: 3.269 3.269 7.328
angles: 90.00 90.00 90.00
Fractional positions:
F (0.500, 0.500, 0.500)
B (0.000, 0.000, 0.000)
N (0.000, 0.500, 0.000)
N (0.500, 0.000, 0.000)
I (0.000, 0.000, 0.500)

Values from the calculation:
energy relative to the lowest polymorph listed for this composition = 0.17 eV per formula unit
symmetry = P4/mmm
raw formation energy = 1.032 eV per atom
DOS at the Fermi energy = 0.83 states/eV/atom

Material: BIN2F
Method: DFT, PBE
State: relaxed

abc: 3.722 3.722 3.432
angles: 90.00 90.00 90.00
Fractional positions:
I (0.500, 0.500, 0.500)
N (0.000, 0.500, 0.000)
N (0.500, 0.000, 0.000)
B (0.000, 0.000, 0.000)
F (0.000, 0.000, 0.500)

Values from the calculation:
energy relative to the lowest polymorph listed for this composition = 0.00 eV per formula unit
symmetry = P4/mmm
raw formation energy = 0.999 eV per atom
DOS at the Fermi energy = 0.30 states/eV/atom

Material: BINF2
Method: DFT, PBE
State: relaxed

abc: 4.691 4.691 4.033
angles: 90.00 90.00 90.00
Fractional positions:
N (0.000, 0.000, 0.500)
I (0.000, 0.000, 0.000)
F (0.500, 0.000, 0.000)
F (0.000, 0.500, 0.000)
B (0.500, 0.500, 0.500)

Values from the calculation:
energy relative to the lowest polymorph listed for this composition = 6.57 eV per formula unit
symmetry = P4/mmm
raw formation energy = 1.055 eV per atom
DOS at the Fermi energy = 0.42 states/eV/atom

Which of these has the lowest DOS at the Fermi energy?
BIF

raw formation energy of number 4 (KB2IF)?
0.967 eV per atom

Which value of raw formation energy does entry 3 give?
0.849 eV per atom

The highest DOS at the Fermi energy belongs to which entry?
number 6